Record 1
PaAlIn2 | PBE | optimized geometry

The structure in CIF format:
```
data_PaAlIn2
_chemical_formula_sum 'Pa3 Al3 In6'
_space_group_name_H-M_alt 'R -3 m'
_space_group_IT_number 166
_space_group_name_Hall '-R 3 2"'
_cell_length_a 4.7147
_cell_length_b 4.7147
_cell_length_c 15.1078
_cell_angle_alpha 90.00
_cell_angle_beta 90.00
_cell_angle_gamma 120.00
loop_
_atom_site_label
_atom_site_type_symbol
_atom_site_fract_x
_atom_site_fract_y
_atom_site_fract_z
Pa1 Pa 0.0000 0.0000 0.0000
Al1 Al 0.0000 0.0000 0.5000
In1 In 0.0000 0.0000 0.2287
```

Computed properties:
uncorrected energy: -53.8 eV per cell
ρ: 8.353 g cm⁻³


Record 2
PaAlIn | PBE | optimized geometry

The structure in CIF format:
```
data_PaAlIn
_chemical_formula_sum 'Pa1 Al1 In1'
_space_group_name_H-M_alt 'P -6 m 2'
_space_group_IT_number 187
_space_group_name_Hall 'P -6 2'
_cell_length_a 4.9100
_cell_length_b 4.9100
_cell_length_c 3.2446
_cell_angle_alpha 90.00
_cell_angle_beta 90.00
_cell_angle_gamma 120.00
loop_
_atom_site_label
_atom_site_type_symbol
_atom_site_fract_x
_atom_site_fract_y
_atom_site_fract_z
Pa1 Pa 0.0000 0.0000 0.0000
Al1 Al 0.3333 0.6667 0.5000
In1 In 0.6667 0.3333 0.5000
```

Computed properties:
uncorrected energy: -16.2 eV per cell
ρ: 9.139 g cm⁻³


Record 3
PaAl4In | PBE | optimized geometry

The structure in CIF format:
```
data_PaAl4In
_chemical_formula_sum 'Pa4 Al16 In4'
_space_group_name_H-M_alt 'F -4 3 m'
_space_group_IT_number 216
_space_group_name_Hall 'F -4 2 3'
_cell_length_a 7.8164
_cell_length_b 7.8164
_cell_length_c 7.8164
_cell_angle_alpha 90.00
_cell_angle_beta 90.00
_cell_angle_gamma 90.00
loop_
_atom_site_label
_atom_site_type_symbol
_atom_site_fract_x
_atom_site_fract_y
_atom_site_fract_z
Pa1 Pa 0.0000 0.0000 0.0000
Al1 Al 0.1251 0.1251 0.3749
In1 In 0.2500 0.2500 0.7500
```

Computed properties:
uncorrected energy: -109.6 eV per cell
ρ: 6.311 g cm⁻³


Record 4
PaAlIn | PBE | optimized geometry

The structure in CIF format:
```
data_PaAlIn
_chemical_formula_sum 'Pa8 Al8 In8'
_space_group_name_H-M_alt 'F m m m'
_space_group_IT_number 69
_space_group_name_Hall '-F 2 2'
_cell_length_a 5.5056
_cell_length_b 7.9943
_cell_length_c 14.0885
_cell_angle_alpha 90.00
_cell_angle_beta 90.00
_cell_angle_gamma 90.00
loop_
_atom_site_label
_atom_site_type_symbol
_atom_site_fract_x
_atom_site_fract_y
_atom_site_fract_z
Pa1 Pa 0.0000 0.0000 0.0922
Al1 Al 0.0000 0.1604 0.5000
In1 In 0.2500 0.2500 0.2500
```

Computed properties:
uncorrected energy: -121.9 eV per cell
ρ: 7.987 g cm⁻³


Record 5
PmPaAlIn | PBE | optimized geometry

The structure in CIF format:
```
data_PmPaAlIn
_chemical_formula_sum 'Pm4 Pa4 Al4 In4'
_space_group_name_H-M_alt 'F -4 3 m'
_space_group_IT_number 216
_space_group_name_Hall 'F -4 2 3'
_cell_length_a 7.4720
_cell_length_b 7.4720
_cell_length_c 7.4720
_cell_angle_alpha 90.00
_cell_angle_beta 90.00
_cell_angle_gamma 90.00
loop_
_atom_site_label
_atom_site_type_symbol
_atom_site_fract_x
_atom_site_fract_y
_atom_site_fract_z
Pm1 Pm 0.0000 0.0000 0.0000
Pa1 Pa 0.0000 0.0000 0.5000
Al1 Al 0.2500 0.2500 0.2500
In1 In 0.2500 0.2500 0.7500
```

Computed properties:
uncorrected energy: -83.7 eV per cell
ρ: 8.245 g cm⁻³


Record 6
Pa2Al2InRh5 | PBE | optimized geometry

The structure in CIF format:
```
data_Pa2Al2InRh5
_chemical_formula_sum 'Pa4 Al4 In2 Rh10'
_space_group_name_H-M_alt 'P 4/m b m'
_space_group_IT_number 127
_space_group_name_Hall '-P 4 2ab'
_cell_length_a 9.9110
_cell_length_b 9.9110
_cell_length_c 3.6023
_cell_angle_alpha 90.00
_cell_angle_beta 90.00
_cell_angle_gamma 90.00
loop_
_atom_site_label
_atom_site_type_symbol
_atom_site_fract_x
_atom_site_fract_y
_atom_site_fract_z
Pa1 Pa 0.1807 0.3193 0.0000
Al1 Al 0.1167 0.6167 0.0000
In1 In 0.0000 0.0000 0.0000
Rh1 Rh 0.0000 0.5000 0.5000
Rh2 Rh 0.0795 0.7887 0.5000
```

Computed properties:
uncorrected energy: -145.1 eV per cell
ρ: 10.750 g cm⁻³